# 1
A relaxed LiAsPb crystal, computed with GGA-PBE.

Polymorph energy (0 for the lowest one), meV/atom: 123
Space-group type: I4mm

Unit cell a=5.1763 b=5.1763 c=5.1763 alpha=134.42 beta=134.45 gamma=66.41
Atoms (fractional coordinates):
As 0.0091 0.0091 0.0000
Li 0.3330 0.3330 0.0000
Pb 0.6579 0.6579 0.0000

# 2
A relaxed LiCdCuBi crystal, computed with GGA-PBE.

DFT total energy, Ha/atom: -0.1010
Space-group type: F-43m

Unit cell a=4.8272 b=4.8272 c=4.8272 alpha=60.00 beta=60.00 gamma=60.00
Atoms (fractional coordinates):
Li 0.5000 0.5000 0.5000
Bi 0.2500 0.2500 0.2500
Cu 0.0000 0.0000 0.0000
Cd 0.7500 0.7500 0.7500

# 3
A relaxed SrNpIr2 crystal, computed with GGA-PBE.

Polymorph energy (0 for the lowest one), meV/atom: 0
Space-group type: P4/mmm

Unit cell a=3.4157 b=3.4157 c=7.5328 alpha=90.00 beta=90.00 gamma=90.00
Atoms (fractional coordinates):
Np 0.5000 0.5000 0.0000
Sr 0.5000 0.5000 0.5000
Ir 0.0000 0.0000 0.8001
Ir 0.0000 0.0000 0.1999

# 4
A relaxed AcIn2Au crystal, computed with GGA-PBE.

Polymorph energy (0 for the lowest one), meV/atom: 135
Space-group type: P4/mmm

Unit cell a=5.1643 b=4.6501 c=4.6501 alpha=90.00 beta=90.00 gamma=90.00
Atoms (fractional coordinates):
Ac 0.5000 0.5000 0.5000
Au 0.5000 0.0000 0.0000
In 0.0000 0.0000 0.5000
In 0.0000 0.5000 0.0000

# 5
A relaxed TbHfFeIr crystal, computed with GGA-PBE.

DFT total energy, Ha/atom: -0.3087
Space-group type: F-43m

Unit cell a=4.6769 b=4.6769 c=4.6769 alpha=60.00 beta=60.00 gamma=60.00
Atoms (fractional coordinates):
Tb 0.7500 0.7500 0.7500
Ir 0.5000 0.5000 0.5000
Hf 0.2500 0.2500 0.2500
Fe 0.0000 0.0000 0.0000

# 6
A relaxed Rb2GeSe2 crystal, computed with GGA-PBE.

Polymorph energy (0 for the lowest one), meV/atom: 351
Formation energy from raw total energies, eV/f.u.: -2.417
Space-group type: P4/mbm

Unit cell a=7.9132 b=7.9132 c=5.1768 alpha=90.00 beta=90.00 gamma=90.00
Atoms (fractional coordinates):
Ge 0.0000 0.0000 0.0000
Ge 0.5000 0.5000 0.0000
Se 0.3216 0.8216 0.0000
Se 0.8216 0.6784 0.0000
Se 0.6784 0.1784 0.0000
Se 0.1784 0.3216 0.0000
Rb 0.1439 0.6439 0.5000
Rb 0.6439 0.8561 0.5000
Rb 0.8561 0.3561 0.5000
Rb 0.3561 0.1439 0.5000

# 7
A relaxed Li2CoCl5 crystal, computed with GGA-PBE.

Formation energy from raw total energies, eV/f.u.: -9.004
Space-group type: P1

Unit cell a=6.1276 b=6.4887 c=6.4874 alpha=78.59 beta=66.24 gamma=66.04
Atoms (fractional coordinates):
Li 0.7536 0.0463 0.6089
Li 0.7539 0.6093 0.0458
Co 0.9897 0.0191 0.0194
Cl 0.9156 0.2622 0.2627
Cl 0.7806 0.8364 0.3063
Cl 0.7779 0.3066 0.8375
Cl 0.0605 0.7745 0.7750
Cl 0.4142 0.9227 0.9215

# 8
A relaxed K3Sm2TmO6 crystal, computed with GGA-PBE.

Formation energy from raw total energies, eV/f.u.: -32.540
Space-group type: C2/m

Unit cell a=6.1190 b=6.1190 c=6.5998 alpha=98.88 beta=98.88 gamma=120.01
Atoms (fractional coordinates):
K 0.1649 0.8351 0.5000
K 0.8351 0.1649 0.5000
K 0.5000 0.5000 0.5000
Sm 0.3333 0.6667 0.0000
Sm 0.6667 0.3333 0.0000
Tm 0.0000 0.0000 0.0000
O 0.9377 0.6150 0.8130
O 0.7394 0.7394 0.1866
O 0.0623 0.3850 0.1870
O 0.6150 0.9377 0.8130
O 0.2606 0.2606 0.8134
O 0.3850 0.0623 0.1870

# 9
A relaxed NaHg4Pd5 crystal, computed with GGA-PBE.

Polymorph energy (0 for the lowest one), meV/atom: 7
Space-group type: Pmmn

Unit cell a=4.8547 b=9.7545 c=8.4812 alpha=90.00 beta=90.00 gamma=90.00
Atoms (fractional coordinates):
Na 0.4879 0.0000 0.0000
Na 0.5121 0.5000 0.5000
Hg 0.9657 0.0000 0.7620
Hg 0.2489 0.7092 0.0000
Hg 0.2489 0.2908 0.0000
Hg 0.9657 0.0000 0.2380
Hg 0.0343 0.5000 0.2620
Hg 0.7511 0.7908 0.5000
Hg 0.7511 0.2092 0.5000
Hg 0.0343 0.5000 0.7380
Pd 0.2514 0.7580 0.6680
Pd 0.2514 0.2420 0.6680
Pd 0.6641 0.5000 0.0000
Pd 0.2514 0.7580 0.3320
Pd 0.2514 0.2420 0.3320
Pd 0.7486 0.7420 0.1680
Pd 0.7486 0.2580 0.1680
Pd 0.3359 0.0000 0.5000
Pd 0.7486 0.2580 0.8320
Pd 0.7486 0.7420 0.8320

# 10
A relaxed KSr3Cl7 crystal, computed with GGA-PBE.

Formation energy from raw total energies, eV/f.u.: -25.911
Space-group type: Cmcm

Unit cell a=8.7300 b=8.7300 c=9.7004 alpha=90.00 beta=90.00 gamma=106.91
Atoms (fractional coordinates):
K 0.0002 0.0002 0.5000
K 0.9998 0.9998 0.0000
Sr 0.5001 0.5001 0.5000
Sr 0.4999 0.4999 0.0000
Sr 0.5333 0.0110 0.2502
Sr 0.4667 0.9890 0.7502
Sr 0.0110 0.5333 0.7498
Sr 0.9890 0.4667 0.2498
Cl 0.6245 0.8758 0.5160
Cl 0.3755 0.1242 0.0160
Cl 0.8758 0.6245 0.4840
Cl 0.1242 0.3755 0.9840
Cl 0.1245 0.3758 0.5156
Cl 0.8755 0.6242 0.0156
Cl 0.3758 0.1245 0.4844
Cl 0.6242 0.8755 0.9844
Cl 0.3518 0.6482 0.2500
Cl 0.6482 0.3518 0.7500
Cl 0.6212 0.3788 0.2500
Cl 0.3788 0.6212 0.7500
Cl 0.8758 0.1242 0.2500
Cl 0.1242 0.8758 0.7500

# 11
A relaxed PrLuRhPb crystal, computed with GGA-PBE.

DFT total energy, Ha/atom: -0.2035
Space-group type: F-43m

Unit cell a=5.2082 b=5.2082 c=5.2082 alpha=60.00 beta=60.00 gamma=60.00
Atoms (fractional coordinates):
Pb 0.0000 0.0000 0.0000
Pr 0.2500 0.2500 0.2500
Lu 0.7500 0.7500 0.7500
Rh 0.5000 0.5000 0.5000

# 12
A relaxed NiPd crystal, computed with GGA-PBE.

DFT total energy, Ha/atom: -0.1978
Space-group type: P-6m2

Unit cell a=2.7118 b=2.7118 c=4.2341 alpha=90.00 beta=90.00 gamma=120.00
Atoms (fractional coordinates):
Ni 0.6667 0.3333 0.5000
Pd 0.0000 0.0000 0.0000

# 13
A relaxed SnBRh3 crystal, computed with GGA-PBE.

DFT total energy, Ha/atom: -0.2516
Space-group type: C2/c

Unit cell a=10.9136 b=7.5211 c=7.5211 alpha=81.64 beta=125.19 gamma=54.81
Atoms (fractional coordinates):
B 0.7500 0.1884 0.6884
B 0.2500 0.8116 0.3116
B 0.7500 0.4529 0.9529
B 0.2500 0.5471 0.0471
Rh 0.4071 0.3938 0.4649
Rh 0.0929 0.9649 0.8938
Rh 0.5929 0.6062 0.5351
Rh 0.9071 0.0351 0.1062
Rh 0.0882 0.2238 0.1496
Rh 0.4118 0.6496 0.7238
Rh 0.9118 0.7762 0.8504
Rh 0.5882 0.3504 0.2762
Rh 0.5708 0.8801 0.7920
Rh 0.9292 0.2920 0.3801
Rh 0.4292 0.1199 0.2080
Rh 0.0708 0.7080 0.6199
Sn 0.0698 0.4956 0.3462
Sn 0.4302 0.8462 0.9956
Sn 0.9302 0.5044 0.6538
Sn 0.5698 0.1538 0.0044

# 14
A relaxed KSr4Co crystal, computed with GGA-PBE.

DFT total energy, Ha/atom: -0.0618
Space-group type: F-43m

Unit cell a=7.7519 b=7.7519 c=7.7519 alpha=60.00 beta=60.00 gamma=60.00
Atoms (fractional coordinates):
K 0.0000 0.0000 0.0000
Sr 0.8730 0.3757 0.3757
Sr 0.3757 0.3757 0.8730
Sr 0.3757 0.8730 0.3757
Sr 0.3757 0.3757 0.3757
Co 0.7500 0.7500 0.7500

# 15
A relaxed ZrTe2Cl2 crystal, computed with GGA-PBE.

Polymorph energy (0 for the lowest one), meV/atom: 0
Formation energy from raw total energies, eV/f.u.: -1.187
Space-group type: I4/mmm

Unit cell a=3.6385 b=3.6385 c=11.7957 alpha=81.13 beta=81.13 gamma=90.00
Atoms (fractional coordinates):
Te 0.4253 0.4253 0.1494
Te 0.5747 0.5747 0.8506
Zr 0.0000 0.0000 0.0000
Cl 0.7500 0.2500 0.5000
Cl 0.2500 0.7500 0.5000

Size of the total moment in μB per formula unit, matching the order above: 0.000; 0.000; 2.449; 0.000; 0.611; 0.000; 2.000; 0.000; 0.000; 0.000; 0.000; 1.066; 0.000; 2.126; 0.000